No. 1
Here is a relaxed structure of Pr3SmN3 from Alexandria. Energies are from GGA-PBE.

Output
Polymorph energy (0 for the lowest one) in meV/atom: 0

Cell lengths 8.3327, 8.3327, 5.3531 Å; angles 90.00, 90.00, 120.00 degrees
Last column: nearest neighbours and their distance in Å.
Fractional coordinates of all 14 atoms:
Pr (0.1652, 0.3303, 0.2500)  4 N 2.40-2.68
Pr (0.1652, 0.8348, 0.2500)  4 N 2.40-2.68
Pr (0.3303, 0.1652, 0.7500)  4 N 2.40-2.68
Pr (0.6697, 0.8348, 0.2500)  4 N 2.40-2.68
Pr (0.8348, 0.1652, 0.7500)  4 N 2.40-2.68
Pr (0.8348, 0.6697, 0.7500)  4 N 2.40-2.68
Sm (0.3333, 0.6667, 0.7500)  3 N 2.39
Sm (0.6667, 0.3333, 0.2500)  3 N 2.39
N (0.1677, 0.3353, 0.7500)  1 Sm 2.39, 4 Pr 2.40-2.68
N (0.1677, 0.8323, 0.7500)  1 Sm 2.39, 4 Pr 2.40-2.68
N (0.3353, 0.1677, 0.2500)  1 Sm 2.39, 4 Pr 2.40-2.68
N (0.6647, 0.8323, 0.7500)  1 Sm 2.39, 4 Pr 2.40-2.68
N (0.8323, 0.1677, 0.2500)  1 Sm 2.39, 4 Pr 2.40-2.68
N (0.8323, 0.6647, 0.2500)  1 Sm 2.39, 4 Pr 2.40-2.68



No. 2
Here is a relaxed structure of PrSmN2 from Alexandria. Energies are from GGA-PBE.

Output
E_tot in eV per atom: -7.70

Cell lengths 3.5704, 3.5704, 18.6209 Å; angles 90.00, 90.00, 120.00 degrees
Last column: nearest neighbours and their distance in Å.
Fractional coordinates of all 12 atoms:
Pr (0.0000, 0.0000, 0.0000)  6 N 2.47-2.72
Pr (0.3333, 0.6667, 0.6667)  6 N 2.47-2.72
Pr (0.6667, 0.3333, 0.3333)  6 N 2.47-2.72
Sm (0.0000, 0.0000, 0.8297)  6 N 2.49-2.65
Sm (0.3333, 0.6667, 0.4964)  6 N 2.49-2.65
Sm (0.6667, 0.3333, 0.1631)  6 N 2.49-2.65
N (0.0000, 0.0000, 0.4069)  3 Pr 2.47, 3 Sm 2.65
N (0.0000, 0.0000, 0.5715)  3 Sm 2.49, 3 Pr 2.72
N (0.3333, 0.6667, 0.0735)  3 Pr 2.47, 3 Sm 2.65
N (0.3333, 0.6667, 0.2381)  3 Sm 2.49, 3 Pr 2.72
N (0.6667, 0.3333, 0.7402)  3 Pr 2.47, 3 Sm 2.65
N (0.6667, 0.3333, 0.9048)  3 Sm 2.49, 3 Pr 2.72